CaZnNiHg2: relaxed, GGA-PBE.

Computed properties:
raw total energy: -2.0653 eV per atom
energy of formation: -0.133 eV/atom
space-group type: P4/mmm, No. 123

Cell and atoms, written as CIF:
```
data_CaZnNiHg2
_chemical_formula_sum 'Ca1 Zn1 Ni1 Hg2'
_cell_length_a 5.021
_cell_length_b 5.021
_cell_length_c 4.624
_cell_angle_alpha 90.00
_cell_angle_beta 90.00
_cell_angle_gamma 90.00
_space_group_name_H-M_alt 'P 1'
_space_group_IT_number 1
loop_
_space_group_symop_operation_xyz
'x,y,z'
loop_
_atom_site_label
_atom_site_type_symbol
_atom_site_fract_x
_atom_site_fract_y
_atom_site_fract_z
Ca1 Ca 0.500 0.500 0.500
Ni1 Ni 0.000 0.000 0.000
Hg1 Hg 0.500 0.000 0.000
Hg2 Hg 0.000 0.500 0.000
Zn1 Zn 0.000 0.000 0.500
```